Entry 1:
! Li10H3Au2 PBE-GGA optimized geometry; values from VASP
! **Final energy**: -81.2 eV per cell
&SYSTEM
  ibrav = 0, nat = 30, ntyp = 3
/
ATOMIC_SPECIES
Li 6.94 Li.upf
H 1.01 H.upf
Au 196.97 Au.upf
CELL_PARAMETERS angstrom
9.313 -2.824 0.000
9.313 2.824 0.000
-2.851 0.000 7.337
ATOMIC_POSITIONS angstrom
Li 3.231 1.412 3.669
Li -1.612 0.000 5.059
Li 6.513 1.449 0.233
Li 1.853 0.000 1.840
Li 5.821 1.375 3.374
Li 2.171 0.000 5.795
Li 9.313 1.470 0.000
Li 9.954 1.375 3.963
Li 9.262 1.449 7.104
Li 8.112 0.000 2.327
Li 3.231 -1.412 3.669
Li 7.663 0.000 5.010
Li 6.513 -1.449 0.233
Li 5.821 -1.375 3.374
Li 9.313 -1.470 0.000
Li 13.604 0.000 1.542
Li 9.954 -1.375 3.963
Li 13.922 0.000 5.497
Li 9.262 -1.449 7.104
Li 17.387 0.000 2.278
H -1.484 0.000 6.980
H 1.810 0.000 3.791
H 7.887 1.448 3.669
H 7.887 -1.448 3.669
H 13.965 0.000 3.546
H 17.259 0.000 0.358
Au 4.591 0.000 1.421
Au 4.969 0.000 5.570
Au 10.806 0.000 1.767
Au 11.184 0.000 5.916



Entry 2:
! Li2HAu2 PBE-GGA optimized geometry; values from VASP
! **Final energy**: -28.8 eV per cell
&SYSTEM
  ibrav = 0, nat = 10, ntyp = 3
/
ATOMIC_SPECIES
Li 6.94 Li.upf
H 1.01 H.upf
Au 196.97 Au.upf
CELL_PARAMETERS angstrom
5.638 0.000 0.000
0.000 5.638 0.000
0.000 0.000 4.523
ATOMIC_POSITIONS angstrom
Li 0.913 1.906 0.000
Li 1.906 4.725 0.000
Li 3.732 0.913 0.000
Li 4.725 3.732 0.000
H 0.000 0.000 2.261
H 2.819 2.819 2.261
Au 0.965 3.784 2.261
Au 1.854 0.965 2.261
Au 3.784 4.673 2.261
Au 4.673 1.854 2.261



Entry 3:
! Li3HAu PBE-GGA optimized geometry; values from VASP
! **Final energy**: -28.9 eV per cell
&SYSTEM
  ibrav = 0, nat = 10, ntyp = 3
/
ATOMIC_SPECIES
Li 6.94 Li.upf
H 1.01 H.upf
Au 196.97 Au.upf
CELL_PARAMETERS angstrom
2.793 0.000 0.000
0.000 4.067 0.000
-0.037 0.000 10.980
ATOMIC_POSITIONS angstrom
Li 0.680 1.017 3.388
Li 0.693 1.017 0.740
Li 0.680 1.017 6.173
Li 2.076 3.050 4.807
Li 2.062 3.050 10.240
Li 2.076 3.050 7.592
H 0.679 3.050 6.140
H 2.076 1.017 4.840
Au 0.676 1.017 8.943
Au 2.080 3.050 2.037



Entry 4:
! Li3HAu PBE-GGA optimized geometry; values from VASP
! **Final energy**: -28.6 eV per cell
&SYSTEM
  ibrav = 0, nat = 10, ntyp = 3
/
ATOMIC_SPECIES
Li 6.94 Li.upf
H 1.01 H.upf
Au 196.97 Au.upf
CELL_PARAMETERS angstrom
5.213 -4.971 0.000
5.213 4.971 0.000
-0.734 0.000 2.697
ATOMIC_POSITIONS angstrom
Li 1.299 0.000 0.362
Li 2.964 1.361 2.277
Li 2.964 -1.361 2.277
Li 6.727 1.361 0.420
Li 6.727 -1.361 0.420
Li 8.393 0.000 2.335
H 3.079 0.000 0.859
H 6.613 0.000 1.838
Au 4.846 3.112 1.349
Au 4.846 -3.112 1.349



Number 1: magnetization 0.00 μB per atom. Number 2: magnetization 0.00 μB per atom. Number 3: magnetization 0.00 μB per atom. Number 4: magnetization 0.00 μB per atom.